A relaxed structure of ZrCd2Pd. Source: Alexandria via LeMat-Bulk, functional GGA-PBE.

**Formation enthalpy at 0 K**: -0.21 eV per atom
**Fermi-level density of states**: 1.86 states/eV per cell

Cell lengths 4.779, 4.779, 4.779 Å; angles 60.00, 60.00, 60.00 degrees
Atoms (fractional coordinates):
Cd  0.750  0.750  0.750
Cd  0.250  0.250  0.250
Zr  0.000  0.000  0.000
Pd  0.500  0.500  0.500